Compound: Er2HfS5
Source: Alexandria
Functional: meta-GGA SCAN
Structure: PBEsol geometry

Geometry as POSCAR:
```
Er2HfS5
1.0
-6.219 0.268 3.430
2.687 -4.768 5.243
3.732 8.787 6.079
Hf S Er
4 20 8
Direct
0.923 0.250 0.494
0.577 0.250 0.994
0.077 0.750 0.506
0.423 0.750 0.006
0.691 0.250 0.209
0.162 0.039 0.595
0.450 0.750 0.503
0.309 0.750 0.791
0.191 0.750 0.291
0.838 0.961 0.405
0.050 0.750 0.003
0.670 0.750 0.181
0.662 0.539 0.905
0.809 0.250 0.709
0.170 0.250 0.319
0.338 0.039 0.095
0.550 0.250 0.497
0.838 0.539 0.405
0.662 0.961 0.905
0.950 0.250 0.997
0.830 0.750 0.681
0.338 0.461 0.095
0.330 0.250 0.819
0.162 0.461 0.595
0.477 0.997 0.321
0.523 0.497 0.679
0.023 0.997 0.821
0.977 0.497 0.179
0.977 0.003 0.179
0.477 0.503 0.321
0.523 0.003 0.679
0.023 0.503 0.821
```

* energy relative to the elements, uncorrected: -2109 meV/atom

Compound: ErHg
Source: Alexandria
Functional: meta-GGA SCAN
Structure: PBEsol geometry

Geometry as POSCAR:
```
ErHg
1.0
3.622 0.000 0.000
0.000 3.622 0.000
0.000 0.000 3.622
Hg Er
1 1
Direct
0.000 0.000 0.000
0.500 0.500 0.500
```

* formation energy from the elements: -0.706 eV/atom

Compound: ErHg3
Source: Alexandria
Functional: meta-GGA SCAN
Structure: PBEsol geometry

Geometry as POSCAR:
```
ErHg3
1.0
-0.806 -4.052 -2.558
5.776 0.656 -2.860
-0.524 -3.372 5.507
Er Hg
2 6
Direct
0.750 0.667 0.333
0.250 0.333 0.667
0.250 0.834 0.166
0.750 0.166 0.834
0.250 0.834 0.667
0.750 0.166 0.333
0.750 0.667 0.834
0.250 0.333 0.166
```

* formation energy from the elements: -0.457 eV/atom

Compound: HoErHg2
Source: Alexandria
Functional: meta-GGA SCAN
Structure: PBEsol geometry

Geometry as POSCAR:
```
HoErHg2
1.0
-1.108 -4.800 -1.445
2.638 -2.207 -3.812
3.284 -3.811 1.022
Hg Ho Er
2 1 1
Direct
0.750 0.750 0.750
0.250 0.250 0.250
0.500 0.500 0.500
0.000 0.000 0.000
```

* formation energy from the elements: -0.707 eV/atom

Compound: Er2InHg
Source: Alexandria
Functional: meta-GGA SCAN
Structure: PBEsol geometry

Geometry as POSCAR:
```
Er2InHg
1.0
-0.445 5.085 -0.742
-3.161 2.775 2.986
1.949 3.291 3.460
Er Hg In
2 1 1
Direct
0.750 0.750 0.750
0.250 0.250 0.250
0.500 0.500 0.500
0.000 0.000 0.000
```

* formation energy from the elements: -0.637 eV/atom

Compound: LiErHg2
Source: Alexandria
Functional: meta-GGA SCAN
Structure: PBEsol geometry

Geometry as POSCAR:
```
LiErHg2
1.0
-4.364 2.150 0.582
-3.592 -2.347 2.366
-1.410 1.519 4.440
Er Hg Li
1 2 1
Direct
0.500 0.500 0.500
0.250 0.250 0.250
0.750 0.750 0.750
0.000 0.000 0.000
```

* formation energy from the elements: -0.604 eV/atom

Computed D(E_F), in the same sequence as the records: 0.0, 1.2, 3.5, 2.2, 2.7, 2.2 states/eV/cell.